Entry 1:
The following is a DFT calculation (PBE) of Ac4HgOsI2 after structural relaxation.

Lattice parameters (Å, degrees): 8.085 4.446 9.043 90.00 106.55 90.00
Atoms (fractional coordinates):
Ac1 0.211 0.000 0.185
Ac2 0.228 0.500 0.804
Ac3 0.772 0.500 0.196
Ac4 0.789 0.000 0.815
Hg1 0.500 0.000 0.000
Os1 0.000 0.500 0.000
I1 0.000 0.000 0.500
I2 0.500 0.500 0.500

The calculation puts the formation energy from raw total energies at -698 meV/atom. The value obtained for the volume is 312 Å³ per cell. The calculation puts the energy at -4.5816 eV per atom. The symmetry is P2/m (10). The density of states at the Fermi level is 0.5452 states/eV/atom.

Entry 2:
The following is a DFT calculation (PBE) of Ac6HgOs2I3 after structural relaxation.

Lattice parameters (Å, degrees): 7.789 7.789 9.015 98.28 98.28 119.98
Atoms (fractional coordinates):
Ac1 0.072 0.437 0.811
Ac2 0.198 0.198 0.188
Ac3 0.437 0.072 0.811
Ac4 0.563 0.928 0.189
Ac5 0.802 0.802 0.812
Ac6 0.928 0.563 0.189
Hg1 0.500 0.500 0.000
Os1 0.167 0.833 0.000
Os2 0.833 0.167 0.000
I1 0.000 0.000 0.500
I2 0.336 0.664 0.500
I3 0.664 0.336 0.500

The calculation puts the formation energy from raw total energies at -701 meV/atom. The value obtained for the volume is 454 Å³ per cell. The calculation puts the energy at -5.0396 eV per atom. The symmetry is C2/m (12). The density of states at the Fermi level is 0.5363 states/eV/atom.

Entry 3:
The following is a DFT calculation (PBE) of Ac8HgOs3I4 after structural relaxation.

Lattice parameters (Å, degrees): 10.017 10.017 10.017 53.07 53.07 53.07
Atoms (fractional coordinates):
Ac1 0.204 0.741 0.741
Ac2 0.229 0.229 0.229
Ac3 0.259 0.259 0.796
Ac4 0.259 0.796 0.259
Ac5 0.741 0.204 0.741
Ac6 0.741 0.741 0.204
Ac7 0.771 0.771 0.771
Ac8 0.796 0.259 0.259
Hg1 0.500 0.500 0.500
Os1 0.000 0.000 0.500
Os2 0.000 0.500 0.000
Os3 0.500 0.000 0.000
I1 0.000 0.000 0.000
I2 0.000 0.500 0.500
I3 0.500 0.000 0.500
I4 0.500 0.500 0.000

The calculation puts the formation energy from raw total energies at -659 meV/atom. The value obtained for the volume is 595 Å³ per cell. The calculation puts the energy at -5.2253 eV per atom. The symmetry is R-3m (166). The density of states at the Fermi level is 0.3648 states/eV/atom.

Entry 4:
The following is a DFT calculation (PBE) of Ac4HgPI2 after structural relaxation.

Lattice parameters (Å, degrees): 8.060 4.497 8.607 90.00 107.55 90.00
Atoms (fractional coordinates):
Ac1 0.217 0.000 0.201
Ac2 0.249 0.500 0.790
Ac3 0.751 0.500 0.210
Ac4 0.783 0.000 0.799
Hg1 0.500 0.000 0.000
P1 0.000 0.500 0.000
I1 0.000 0.000 0.500
I2 0.500 0.500 0.500

The calculation puts the formation energy from raw total energies at -984 meV/atom. The value obtained for the volume is 297 Å³ per cell. The calculation puts the energy at -4.1400 eV per atom. The symmetry is P2/m (10). The density of states at the Fermi level is 0.6080 states/eV/atom.

Entry 5:
The following is a DFT calculation (PBE) of Ac8HgPd3I4 after structural relaxation.

Lattice parameters (Å, degrees): 10.052 10.052 10.052 53.97 53.97 53.97
Atoms (fractional coordinates):
Ac1 0.215 0.738 0.738
Ac2 0.231 0.231 0.231
Ac3 0.262 0.262 0.785
Ac4 0.262 0.785 0.262
Ac5 0.738 0.215 0.738
Ac6 0.738 0.738 0.215
Ac7 0.769 0.769 0.769
Ac8 0.785 0.262 0.262
Hg1 0.500 0.500 0.500
Pd1 0.000 0.000 0.500
Pd2 0.000 0.500 0.000
Pd3 0.500 0.000 0.000
I1 0.000 0.000 0.000
I2 0.000 0.500 0.500
I3 0.500 0.000 0.500
I4 0.500 0.500 0.000

The calculation puts the formation energy from raw total energies at -877 meV/atom. The value obtained for the volume is 617 Å³ per cell. The calculation puts the energy at -4.3114 eV per atom. The symmetry is R-3m (166). The density of states at the Fermi level is 0.7059 states/eV/atom.

Entry 6:
The following is a DFT calculation (PBE) of Ac6HgPd2I3 after structural relaxation.

Lattice parameters (Å, degrees): 7.915 7.915 8.870 98.59 98.59 119.87
Atoms (fractional coordinates):
Ac1 0.082 0.433 0.801
Ac2 0.214 0.214 0.196
Ac3 0.433 0.082 0.801
Ac4 0.567 0.918 0.199
Ac5 0.786 0.786 0.804
Ac6 0.918 0.567 0.199
Hg1 0.500 0.500 0.000
Pd1 0.167 0.833 0.000
Pd2 0.833 0.167 0.000
I1 0.000 0.000 0.500
I2 0.339 0.661 0.500
I3 0.661 0.339 0.500

The calculation puts the formation energy from raw total energies at -854 meV/atom. The value obtained for the volume is 460 Å³ per cell. The calculation puts the energy at -4.1862 eV per atom. The symmetry is C2/m (12). The density of states at the Fermi level is 0.8783 states/eV/atom.